HfCrAgS4 | GGA-PBEsol | relaxed

Lattice parameters (Å, degrees): 7.252 7.252 7.252 119.69 119.08 91.07
Fractional coordinates of all 14 atoms:
Hf  0.250  0.251  0.001
Hf  0.750  0.249  0.499
Cr  0.750  0.250  0.000
Cr  0.750  0.750  0.500
Ag  0.137  0.887  0.250
Ag  0.363  0.613  0.750
S  0.513  0.026  0.012
S  0.513  0.500  0.488
S  0.534  0.497  0.037
S  0.540  0.003  0.537
S  0.960  0.497  0.463
S  0.966  0.003  0.963
S  0.987  0.000  0.513
S  0.987  0.474  0.987

Total moment = 2.997 μB per formula unit
Energy above the lowest structure with this stoichiometry = 0.0000 eV/atom
Space group = I2_12_12_1, No. 24
Energy relative to the elements, uncorrected = -641 kJ/mol of formula units
E_tot = -96.47 eV/cell

Cu2HgW | GGA-PBEsol | relaxed

Lattice parameters (Å, degrees): 2.735 4.560 4.844 90.00 90.00 90.00
Fractional coordinates of all 4 atoms:
Cu  0.000  0.000  0.000
Cu  0.500  0.000  0.500
Hg  0.000  0.500  0.500
W  0.500  0.500  0.000

Total moment = 0.000 μB per formula unit
Space group = Pmmm, No. 47
E_tot = -20.47 eV/cell
E_form = 644 meV per atom

Number 1: N(E_F) 0.4 states/eV/f.u.. Number 2: N(E_F) 2.7 states/eV/f.u..